## A
Compound: K2ReRu
Source: Alexandria via LeMat-Bulk
Functional: PBE-GGA
Structure: relaxed

Cell and atoms, written as CIF:
```
data_K2ReRu
_symmetry_space_group_name_H-M 'P 1'
_symmetry_Int_Tables_number 1
_cell_length_a 6.365
_cell_length_b 6.365
_cell_length_c 6.365
_cell_angle_alpha 145.64
_cell_angle_beta 145.64
_cell_angle_gamma 49.39
loop_
_symmetry_equiv_pos_as_xyz
'x,y,z'
loop_
_atom_site_label
_atom_site_type_symbol
_atom_site_fract_x
_atom_site_fract_y
_atom_site_fract_z
K1 K 0.000 0.000 0.000
K2 K 0.500 0.500 0.000
Re1 Re 0.250 0.750 0.500
Ru1 Ru 0.750 0.250 0.500
```

Values from the calculation:
- SG: I4/mmm (139)
- Crystal system: tetragonal

=====

## B
Compound: K2ReRu
Source: Alexandria via LeMat-Bulk
Functional: PBE-GGA
Structure: relaxed

Cell and atoms, written as CIF:
```
data_K2ReRu
_symmetry_space_group_name_H-M 'P 1'
_symmetry_Int_Tables_number 1
_cell_length_a 2.702
_cell_length_b 2.702
_cell_length_c 11.652
_cell_angle_alpha 90.00
_cell_angle_beta 90.00
_cell_angle_gamma 107.62
loop_
_symmetry_equiv_pos_as_xyz
'x,y,z'
loop_
_atom_site_label
_atom_site_type_symbol
_atom_site_fract_x
_atom_site_fract_y
_atom_site_fract_z
K1 K 0.000 0.000 0.995
K2 K 0.000 0.000 0.505
Re1 Re 0.500 0.500 0.250
Ru1 Ru 0.500 0.500 0.750
```

Values from the calculation:
- SG: Cmmm (65)
- Crystal system: orthorhombic

=====

Which is the most stable structure? B is the most stable.